(1)
DFT (GGA-PBE) results for a relaxed structure of Ca3Pu3FeN8.

a b c (Å): 6.6951 6.6971 6.8240
angles (deg): 119.38 89.99 120.00
Each line ends with the local moment (μB).
Element x y z (fractional)
Ca (0.0000, 0.0000, 0.0000)  0.00
Ca (0.0000, 0.5000, 0.0000)  0.00
Ca (0.5000, 0.5000, 0.0000)  0.00
Pu (0.5000, 0.0000, 0.5000)  3.91
Pu (0.5000, 0.5000, 0.5000)  3.92
Pu (0.0000, 0.5000, 0.5000)  3.92
Fe (0.0000, 0.0000, 0.5000)  2.62
N (0.2576, 0.5153, 0.2732)  -0.15
N (0.7424, 0.4847, 0.7268)  -0.15
N (0.7781, 0.5563, 0.3078)  -0.16
N (0.2219, 0.4437, 0.6922)  -0.16
N (0.7780, 0.0294, 0.3077)  -0.16
N (0.2220, 0.9706, 0.6923)  -0.16
N (0.2513, 0.0294, 0.3077)  -0.16
N (0.7487, 0.9706, 0.6923)  -0.16

=====

(2)
DFT (GGA-PBE) results for a relaxed structure of Ca2PuFeN4.

a b c (Å): 3.3265 5.7804 11.8211
angles (deg): 90.00 90.00 106.72
Each line ends with the local moment (μB).
Element x y z (fractional)
Ca (0.3677, 0.7353, 0.5430)  0.00
Ca (0.6323, 0.2647, 0.0430)  0.00
Ca (0.6323, 0.2647, 0.4570)  0.00
Ca (0.3677, 0.7353, 0.9570)  0.00
Pu (0.1093, 0.2186, 0.7500)  4.60
Pu (0.8907, 0.7814, 0.2500)  4.60
Fe (0.8379, 0.6759, 0.7500)  0.04
Fe (0.1621, 0.3241, 0.2500)  0.04
N (0.2808, 0.5617, 0.1453)  -0.14
N (0.7192, 0.4383, 0.6453)  -0.14
N (0.7192, 0.4383, 0.8547)  -0.14
N (0.2808, 0.5617, 0.3547)  -0.14
N (0.0000, 0.0000, 0.5000)  -0.15
N (0.0000, 0.0000, 0.0000)  -0.15
N (0.4163, 0.8326, 0.7500)  -0.04
N (0.5837, 0.1674, 0.2500)  -0.04

=====

(3)
DFT (GGA-PBE) results for a relaxed structure of Ca2FeSbN.

a b c (Å): 5.2072 5.2072 3.6762
angles (deg): 90.00 90.00 90.00
Each line ends with the local moment (μB).
Element x y z (fractional)
Sb (0.5000, 0.5000, 0.5000)  0.10
Ca (0.0000, 0.5000, 0.0000)  0.00
Ca (0.5000, 0.0000, 0.0000)  0.00
Fe (0.0000, 0.0000, 0.5000)  1.93
N (0.0000, 0.0000, 0.0000)  0.01

=====

(4)
DFT (GGA-PBE) results for a relaxed structure of Ca2FeSnN.

a b c (Å): 5.2357 5.2357 3.6144
angles (deg): 90.00 90.00 90.00
Each line ends with the local moment (μB).
Element x y z (fractional)
Ca (0.0000, 0.5000, 0.0000)  0.00
Ca (0.5000, 0.0000, 0.0000)  0.00
N (0.0000, 0.0000, 0.0000)  -0.03
Sn (0.5000, 0.5000, 0.5000)  0.06
Fe (0.0000, 0.0000, 0.5000)  1.33

=====

(5)
DFT (GGA-PBE) results for a relaxed structure of CaTa2FeN4.

a b c (Å): 3.0785 5.6002 10.8431
angles (deg): 90.00 90.00 105.95
Element x y z (fractional)
Ca (0.1082, 0.2164, 0.7500)
Ca (0.8918, 0.7836, 0.2500)
Ta (0.3687, 0.7373, 0.5545)
Ta (0.6313, 0.2627, 0.0545)
Ta (0.6313, 0.2627, 0.4455)
Ta (0.3687, 0.7373, 0.9455)
Fe (0.8411, 0.6822, 0.7500)
Fe (0.1589, 0.3178, 0.2500)
N (0.2703, 0.5405, 0.1100)
N (0.7297, 0.4595, 0.6100)
N (0.7297, 0.4595, 0.8900)
N (0.2703, 0.5405, 0.3900)
N (0.0000, 0.0000, 0.5000)
N (0.0000, 0.0000, 0.0000)
N (0.4410, 0.8821, 0.7500)
N (0.5590, 0.1179, 0.2500)

=====

(6)
DFT (GGA-PBE) results for a relaxed structure of CaFeTcN2.

a b c (Å): 3.9635 4.7153 3.9635
angles (deg): 90.00 90.00 90.00
Each line ends with the local moment (μB).
Element x y z (fractional)
Ca (0.5000, 0.5000, 0.5000)  -0.07
N (0.0000, 0.0000, 0.5000)  0.11
N (0.5000, 0.0000, 0.0000)  0.12
Tc (0.0000, 0.0000, 0.0000)  -0.15
Fe (0.0000, 0.5000, 0.0000)  2.40

=====

Looking at ΔE_f (raw) for the records above, in order, we have -0.82, -0.59, -0.61, -0.50, -0.95, 0.48 eV/atom.
Looking at DFT total energy for the records above, in order, we have -136.4, -129.7, -28.0, -27.3, -150.1, -35.1 eV for the cell shown.